DFT (GGA-PBE) results for U2BeZn16 after structural relaxation.

Cell lengths 8.9224, 8.9224, 13.0670 Å; angles 90.00, 90.00, 120.00 degrees
Space group R3m (No. 160, hexagonal axes)
Asymmetric unit:
U  0.0000  0.0000  0.0000 [3 per cell]
U  0.0000  0.0000  0.3289 [3 per cell]
Be  0.0000  0.0000  0.7696 [3 per cell]
Zn  0.0000  0.0000  0.5721 [3 per cell]
Zn  0.9997  0.2945  0.6656 [18 per cell]
Zn  0.0063  0.5032  0.8163 [9 per cell]
Zn  0.1703  0.3406  0.8468 [9 per cell]
Zn  0.1718  0.3437  0.4991 [9 per cell]

Computed properties:
- energy (Ry per atom) = -0.182
- energy of formation from the pure elements (eV/atom) = -0.014
- crystal system = trigonal

DFT (GGA-PBE) results for NdDyZnAg after structural relaxation.

Cell lengths 3.6539, 3.6539, 7.3392 Å; angles 90.00, 90.00, 90.00 degrees
Space group P4mm (No. 99)
Asymmetric unit:
Nd  0.0000  0.0000  0.0000 [1 per cell]
Dy  0.0000  0.0000  0.5162 [1 per cell]
Zn  0.5000  0.5000  0.7450 [1 per cell]
Ag  0.5000  0.5000  0.2793 [1 per cell]

Computed properties:
- energy (Ry per atom) = -0.271
- energy of formation from the pure elements (eV/atom) = -0.311
- crystal system = tetragonal

DFT (GGA-PBE) results for MgCuW2 after structural relaxation.

Cell lengths 2.6880, 4.3794, 5.3999 Å; angles 90.00, 97.74, 90.00 degrees
Space group Pm (No. 6)
Asymmetric unit:
Mg  0.0000  0.0000  0.0000 [1 per cell]
Cu  0.0876  0.5000  0.7614 [1 per cell]
W  0.4404  0.0000  0.5022 [1 per cell]
W  0.6688  0.5000  0.2695 [1 per cell]

Computed properties:
- energy (Ry per atom) = -0.554
- energy of formation from the pure elements (eV/atom) = 0.355
- crystal system = monoclinic

DFT (GGA-PBE) results for Na2InIrN after structural relaxation.

Cell lengths 5.0419, 5.0419, 3.7536 Å; angles 90.00, 90.00, 90.00 degrees
Space group P4/mmm (No. 123)
Asymmetric unit:
Na  0.0000  0.5000  0.0000 [2 per cell]
In  0.0000  0.0000  0.5000 [1 per cell]
Ir  0.5000  0.5000  0.5000 [1 per cell]
N  0.5000  0.5000  0.0000 [1 per cell]

Computed properties:
- energy (Ry per atom) = -0.335
- crystal system = tetragonal
- E_form (uncorrected) (eV per formula unit) = -0.21

DFT (GGA-PBE) results for LaNd7Dy2 after structural relaxation.

Cell lengths 8.9867, 16.2678, 5.7862 Å; angles 90.00, 90.00, 90.00 degrees
Space group Cmmm (No. 65)
Asymmetric unit:
La  0.0000  0.0000  0.0000 [2 per cell]
Nd  0.0000  0.2292  0.0000 [4 per cell]
Nd  0.0000  0.5000  0.5000 [2 per cell]
Nd  0.1795  0.1172  0.5000 [8 per cell]
Dy  0.0000  0.2967  0.5000 [4 per cell]

Computed properties:
- energy (Ry per atom) = -0.303
- energy of formation from the pure elements (eV/atom) = 0.627
- crystal system = orthorhombic

DFT (GGA-PBE) results for Rb3YAl2O6 after structural relaxation.

Cell lengths 6.1106, 6.1106, 7.3723 Å; angles 90.00, 90.00, 120.00 degrees
Space group P-3m1 (No. 164)
Asymmetric unit:
Rb  0.0000  0.0000  0.0000 [1 per cell]
Rb  0.3333  0.6667  0.7516 [2 per cell]
Y  0.0000  0.0000  0.5000 [1 per cell]
Al  0.3333  0.6667  0.3076 [2 per cell]
O  0.1717  0.3435  0.3069 [6 per cell]

Computed properties:
- energy (Ry per atom) = -0.459
- crystal system = trigonal
- E_form (uncorrected) (eV per formula unit) = -28.39

DFT (GGA-PBE) results for NaCoBi3 after structural relaxation.

Cell lengths 5.4277, 5.4277, 5.4277 Å; angles 90.00, 90.00, 90.00 degrees
Space group Pm-3m (No. 221)
Asymmetric unit:
Na  0.0000  0.0000  0.0000 [1 per cell]
Co  0.5000  0.5000  0.5000 [1 per cell]
Bi  0.0000  0.0000  0.5000 [3 per cell]

Computed properties:
- energy (Ry per atom) = -0.206
- energy of formation from the pure elements (eV/atom) = 1.216
- crystal system = cubic